[1]
The following is a DFT calculation (PBE) of an optimized crystal structure of La2ErTl4.

Results
The total magnetic moment is 0.00 Bohr magnetons per cell. The calculation puts the formation energy at -261 meV/atom.

a b c (Å): 5.3363 5.3363 15.5209
angles (deg): 90.00 90.00 90.00
Closest atoms and distances in Å follow each position.
Space group I4/mmm (No. 139)
Symmetry-distinct sites (fractional):
La 0.0000 0.0000 0.2490 [4 per cell]  8 Tl 3.45-3.47, 4 La 3.77
Er 0.0000 0.0000 0.5000 [2 per cell]  8 Tl 3.15
Tl 0.0000 0.5000 0.1077 [8 per cell]  2 Er 3.15, 1 Tl 3.34, 4 La 3.45-3.47

[2]
The following is a DFT calculation (PBE) of an optimized crystal structure of LiAg3F6.

Results
The value obtained for the final energy is -72.329 eV for the cell shown. The total magnetic moment is 1.05 Bohr magnetons per cell.

a b c (Å): 5.3219 5.7988 10.4596
angles (deg): 90.00 120.48 90.00
Closest atoms and distances in Å follow each position.
Space group P2_1/c (No. 14)
Symmetry-distinct sites (fractional):
Li 0.0000 0.0000 0.0000 [2 per cell]  6 F 2.10-2.15
Ag 0.3055 0.0839 0.7824 [4 per cell]  4 F 2.18-2.30
Ag 0.5000 0.0000 0.5000 [2 per cell]  4 F 2.17-2.22
F 0.0499 0.0998 0.2096 [4 per cell]  1 Li 2.15, 2 Ag 2.18-2.21
F 0.2722 0.7047 0.0901 [4 per cell]  1 Li 2.13, 2 Ag 2.22-2.30
F 0.3852 0.1912 0.0760 [4 per cell]  1 Li 2.10, 2 Ag 2.17-2.23

[3]
The following is a DFT calculation (PBE) of an optimized crystal structure of ZrTcSe.

Results
The value obtained for the final energy is -96.161 eV for the cell shown. The total magnetic moment is 0.00 Bohr magnetons per cell.

a b c (Å): 3.5136 9.7044 6.7144
angles (deg): 90.00 90.00 90.00
Closest atoms and distances in Å follow each position.
Space group Ima2 (No. 46)
Symmetry-distinct sites (fractional):
Zr 0.2500 0.1668 0.0000 [4 per cell]  4 Se 2.77-2.80, 2 Tc 2.79
Tc 0.2500 0.5928 0.8041 [4 per cell]  2 Tc 2.52, 2 Se 2.56-2.64, 2 Zr 2.79
Se 0.2500 0.6493 0.1767 [4 per cell]  2 Tc 2.56-2.64, 4 Zr 2.77-2.80

[4]
The following is a DFT calculation (PBE) of an optimized crystal structure of SrTaPb2.

Results
The total magnetic moment is 0.00 Bohr magnetons per cell. The calculation puts the formation energy at 495 meV/atom.

a b c (Å): 3.2963 5.3816 6.1925
angles (deg): 90.00 90.00 90.00
Closest atoms and distances in Å follow each position.
Space group Pmmm (No. 47)
Symmetry-distinct sites (fractional):
Sr 0.0000 0.0000 0.0000 [1 per cell]  6 Pb 3.10-3.16, 2 Sr 3.30
Ta 0.5000 0.5000 0.5000 [1 per cell]  6 Pb 3.10-3.16, 2 Ta 3.30
Pb 0.0000 0.0000 0.5000 [1 per cell]  2 Sr 3.10, 4 Ta 3.16, 2 Pb 3.30
Pb 0.5000 0.5000 0.0000 [1 per cell]  2 Ta 3.10, 4 Sr 3.16, 2 Pb 3.30

[5]
The following is a DFT calculation (PBE) of an optimized crystal structure of CaTa2.

Results
The total magnetic moment is 0.00 Bohr magnetons per cell. The calculation puts the formation energy at 555 meV/atom.

a b c (Å): 8.2023 8.2023 8.2023
angles (deg): 90.00 90.00 90.00
Closest atoms and distances in Å follow each position.
Space group Fd-3m (No. 227, origin choice 2)
Symmetry-distinct sites (fractional):
Ca 0.1250 0.1250 0.1250 [8 per cell]  12 Ta 3.40, 4 Ca 3.55
Ta 0.0000 0.0000 0.5000 [16 per cell]  6 Ta 2.90

[6]
The following is a DFT calculation (PBE) of an optimized crystal structure of AcNd2P3.

Results
The total magnetic moment is 0.00 Bohr magnetons per cell. The calculation puts the formation energy at -1488 meV/atom.

a b c (Å): 4.2619 6.0414 12.8002
angles (deg): 90.00 90.00 90.00
Closest atoms and distances in Å follow each position.
Space group Immm (No. 71)
Symmetry-distinct sites (fractional):
Ac 0.0000 0.0000 0.0000 [2 per cell]  6 P 3.02-3.09
Nd 0.0000 0.0000 0.3335 [4 per cell]  6 P 2.95-3.02
P 0.0000 0.5000 0.0000 [2 per cell]  4 Nd 3.01, 2 Ac 3.02
P 0.0000 0.5000 0.3257 [4 per cell]  4 Nd 2.95-3.02, 2 Ac 3.09

Q: What is the total magnetic moment in the sixth record?
A: 0.00 Bohr magnetons per cell

Q: Among the records above, which one has the highest total magnetic moment?
A: LiAg3F6